(1)
Al2VHgPd after structural relaxation, computed with PBE.

* energy of formation: 696 meV per atom
* calculated volume: 110.4 Å³ per cell
* SG: P4/mmm (123)

a = 4.9130 Å, b = 4.9130 Å, c = 4.5757 Å
α = 90.00°, β = 90.00°, γ = 90.00°
Fractional coordinates of all 5 atoms:
Al1 0.0000 0.5000 0.0000
Al2 0.5000 0.0000 0.0000
V1 0.0000 0.0000 0.0000
Hg1 0.5000 0.5000 0.5000
Pd1 0.0000 0.0000 0.5000


(2)
Mn2NiS4 after structural relaxation, computed with PBE.

* calculated volume: 221.6 Å³ per cell
* SG: Fd-3m (227)
* formation energy without anion corrections: -0.59 eV per atom

a = 6.7925 Å, b = 6.7925 Å, c = 6.7925 Å
α = 60.00°, β = 60.00°, γ = 60.00°
Fractional coordinates of all 14 atoms:
Mn1 0.0000 0.0000 0.0000
Mn2 0.0000 0.0000 0.5000
Mn3 0.0000 0.5000 0.0000
Mn4 0.5000 0.0000 0.0000
Ni1 0.3750 0.3750 0.3750
Ni2 0.6250 0.6250 0.6250
S1 0.2329 0.7557 0.7557
S2 0.2443 0.2443 0.2443
S3 0.2443 0.2443 0.7671
S4 0.2443 0.7671 0.2443
S5 0.7557 0.2329 0.7557
S6 0.7557 0.7557 0.2329
S7 0.7557 0.7557 0.7557
S8 0.7671 0.2443 0.2443


(3)
CsNiH2I after structural relaxation, computed with PBE.

* total DFT energy (no corrections): -0.1656 Ry per atom
* calculated volume: 161.9 Å³ per cell
* SG: P4/mmm (123)

a = 4.6544 Å, b = 4.6544 Å, c = 7.4711 Å
α = 90.00°, β = 90.00°, γ = 90.00°
Fractional coordinates of all 5 atoms:
Cs1 0.0000 0.0000 0.0000
Ni1 0.0000 0.0000 0.5000
H1 0.0000 0.5000 0.5000
H2 0.5000 0.0000 0.5000
I1 0.5000 0.5000 0.0000